(1)
VASP calculation (GGA-PBE) on a geometry-optimized Dy8YEr2 structure.

magnetization: 0.000 μB/atom
energy relative to the elements: 0.18 eV/atom
theoretical density: 7.96 g cm⁻³

a = 10.1486 Å, b = 13.2026 Å, c = 5.3687 Å
α = 90.00°, β = 90.13°, γ = 90.00°
Space group Cm (No. 8)
Inequivalent atoms, fractional coordinates:
Dy: 0.0000 0.0000 0.0000 [2 per cell]
Dy: 0.0008 0.3648 0.5006 [4 per cell]
Dy: 0.1710 0.1359 0.4994 [4 per cell]
Dy: 0.1721 0.5000 0.9999 [2 per cell]
Dy: 0.3379 0.2539 0.0000 [4 per cell]
Y: 0.3359 0.0000 0.9998 [2 per cell]
Er: 0.3361 0.3805 0.4999 [4 per cell]


(2)
VASP calculation (GGA-PBE) on a geometry-optimized Dy12Y2Er5 structure.

magnetization: 0.000 μB/atom
energy relative to the elements: 0.28 eV/atom
theoretical density: 7.88 g cm⁻³

a = 17.0941 Å, b = 6.8102 Å, c = 11.1213 Å
α = 90.00°, β = 105.28°, γ = 90.00°
Space group C2/m (No. 12)
Inequivalent atoms, fractional coordinates:
Dy: 0.0513 0.0000 0.2697 [4 per cell]
Dy: 0.0787 0.5000 0.4219 [4 per cell]
Dy: 0.1128 0.2622 0.7507 [8 per cell]
Dy: 0.1917 0.2617 0.2256 [8 per cell]
Y: 0.0000 0.2473 0.0000 [4 per cell]
Er: 0.0000 0.0000 0.5000 [2 per cell]
Er: 0.2095 0.0000 0.5076 [4 per cell]
Er: 0.2251 0.0000 0.9942 [4 per cell]


(3)
VASP calculation (GGA-PBE) on a geometry-optimized Dy2Y12Er5 structure.

magnetization: 0.000 μB/atom
energy relative to the elements: 0.13 eV/atom
theoretical density: 5.99 g cm⁻³

a = 15.6218 Å, b = 9.2643 Å, c = 8.5416 Å
α = 90.00°, β = 91.13°, γ = 90.00°
Space group C2/m (No. 12)
Inequivalent atoms, fractional coordinates:
Dy: 0.0000 0.1761 0.0000 [4 per cell]
Y: 0.0581 0.0000 0.3322 [4 per cell]
Y: 0.0878 0.5000 0.8803 [4 per cell]
Y: 0.1273 0.1930 0.6609 [8 per cell]
Y: 0.1538 0.3191 0.2398 [8 per cell]
Er: 0.0000 0.5000 0.5000 [2 per cell]
Er: 0.1987 0.0000 0.0129 [4 per cell]
Er: 0.2314 0.5000 0.5737 [4 per cell]


(4)
VASP calculation (GGA-PBE) on a geometry-optimized Dy4Y4Er structure.

magnetization: 0.000 μB/atom
energy relative to the elements: 0.11 eV/atom
theoretical density: 6.73 g cm⁻³

a = 5.4977 Å, b = 6.7758 Å, c = 8.7963 Å
α = 110.71°, β = 108.03°, γ = 90.01°
Space group P-1 (No. 2)
Inequivalent atoms, fractional coordinates:
Dy: 0.0746 0.3884 0.1457 [2 per cell]
Dy: 0.3621 0.2941 0.7265 [2 per cell]
Y: 0.1355 0.9738 0.2688 [2 per cell]
Y: 0.2801 0.7023 0.5610 [2 per cell]
Er: 0.5000 0.0000 0.0000 [1 per cell]


(5)
VASP calculation (GGA-PBE) on a geometry-optimized Dy6Y2Er3 structure.

magnetization: 0.000 μB/atom
energy relative to the elements: 0.02 eV/atom
theoretical density: 7.99 g cm⁻³

a = 3.5404 Å, b = 3.5404 Å, c = 95.0533 Å
α = 90.00°, β = 90.00°, γ = 120.00°
Space group R-3m (No. 166, hexagonal axes)
Inequivalent atoms, fractional coordinates:
Dy: 0.0000 0.0000 0.0904 [6 per cell]
Dy: 0.0000 0.0000 0.1818 [6 per cell]
Dy: 0.0000 0.0000 0.3635 [6 per cell]
Y: 0.0000 0.0000 0.4543 [6 per cell]
Er: 0.0000 0.0000 0.0000 [3 per cell]
Er: 0.0000 0.0000 0.2731 [6 per cell]


(6)
VASP calculation (GGA-PBE) on a geometry-optimized DyY2Er3 structure.

magnetization: 0.000 μB/atom
energy relative to the elements: 0.25 eV/atom
theoretical density: 7.13 g cm⁻³

a = 10.3004 Å, b = 13.0771 Å, c = 5.8224 Å
α = 90.00°, β = 90.00°, γ = 90.00°
Space group Cmcm (No. 63)
Inequivalent atoms, fractional coordinates:
Dy: 0.0000 0.2073 0.2500 [4 per cell]
Y: 0.1670 0.2947 0.7500 [8 per cell]
Er: 0.0000 0.0613 0.7500 [4 per cell]
Er: 0.1663 0.4388 0.2500 [8 per cell]


(7)
VASP calculation (GGA-PBE) on a geometry-optimized Dy4YEr3 structure.

magnetization: 0.000 μB/atom
energy relative to the elements: 0.00 eV/atom
theoretical density: 8.26 g cm⁻³

a = 23.6851 Å, b = 3.5496 Å, c = 6.1435 Å
α = 90.00°, β = 105.02°, γ = 90.00°
Space group C2/m (No. 12)
Inequivalent atoms, fractional coordinates:
Dy: 0.1248 0.0000 0.4589 [4 per cell]
Dy: 0.2500 0.0000 0.2502 [4 per cell]
Y: 0.0000 0.0000 0.0000 [2 per cell]
Er: 0.0000 0.5000 0.5000 [2 per cell]
Er: 0.1253 0.5000 0.9586 [4 per cell]


(8)
VASP calculation (GGA-PBE) on a geometry-optimized DyY14Er structure.

magnetization: 0.000 μB/atom
energy relative to the elements: 0.02 eV/atom
theoretical density: 5.11 g cm⁻³

a = 7.1348 Å, b = 7.1348 Å, c = 10.0602 Å
α = 90.00°, β = 90.00°, γ = 90.00°
Space group P4/mmm (No. 123)
Inequivalent atoms, fractional coordinates:
Dy: 0.0000 0.0000 0.0000 [1 per cell]
Y: 0.0000 0.0000 0.5000 [1 per cell]
Y: 0.0000 0.5000 0.0000 [2 per cell]
Y: 0.0000 0.5000 0.5000 [2 per cell]
Y: 0.2502 0.2502 0.2488 [8 per cell]
Y: 0.5000 0.5000 0.5000 [1 per cell]
Er: 0.5000 0.5000 0.0000 [1 per cell]


(9)
VASP calculation (GGA-PBE) on a geometry-optimized Dy2Y2Er7 structure.

magnetization: 0.000 μB/atom
energy relative to the elements: 0.16 eV/atom
theoretical density: 7.96 g cm⁻³

a = 11.1406 Å, b = 11.3923 Å, c = 6.0135 Å
α = 90.00°, β = 113.75°, γ = 90.00°
Space group C2/m (No. 12)
Inequivalent atoms, fractional coordinates:
Dy: 0.0905 0.0000 0.3053 [4 per cell]
Y: 0.0000 0.2862 0.0000 [4 per cell]
Er: 0.0000 0.5000 0.5000 [2 per cell]
Er: 0.1742 0.2637 0.6764 [8 per cell]
Er: 0.2336 0.5000 0.0811 [4 per cell]


(10)
VASP calculation (GGA-PBE) on a geometry-optimized Dy5Y5Er structure.

magnetization: 0.000 μB/atom
energy relative to the elements: 0.31 eV/atom
theoretical density: 6.46 g cm⁻³

a = 6.0792 Å, b = 6.0792 Å, c = 11.4473 Å
α = 90.00°, β = 90.00°, γ = 120.00°
Space group P-6m2 (No. 187)
Inequivalent atoms, fractional coordinates:
Dy: 0.0000 0.0000 0.2351 [2 per cell]
Dy: 0.3368 0.1684 0.0000 [3 per cell]
Y: 0.0000 0.0000 0.5000 [1 per cell]
Y: 0.3333 0.6667 0.1821 [2 per cell]
Y: 0.6667 0.3333 0.3412 [2 per cell]
Er: 0.3333 0.6667 0.5000 [1 per cell]


(11)
VASP calculation (GGA-PBE) on a geometry-optimized Dy2Y4Er7 structure.

magnetization: 0.000 μB/atom
energy relative to the elements: 0.17 eV/atom
theoretical density: 7.39 g cm⁻³

a = 6.0306 Å, b = 6.0306 Å, c = 13.2088 Å
α = 90.00°, β = 90.00°, γ = 120.00°
Space group P-31m (No. 162)
Inequivalent atoms, fractional coordinates:
Dy: 0.3333 0.6667 0.0000 [2 per cell]
Y: 0.0000 0.0000 0.3934 [2 per cell]
Y: 0.3333 0.6667 0.5000 [2 per cell]
Er: 0.0000 0.0000 0.0000 [1 per cell]
Er: 0.0000 0.3545 0.2138 [6 per cell]


(12)
VASP calculation (GGA-PBE) on a geometry-optimized Dy7Y2Er structure.

magnetization: 0.000 μB/atom
energy relative to the elements: 0.45 eV/atom
theoretical density: 7.22 g cm⁻³

a = 11.8088 Å, b = 16.4383 Å, c = 3.5134 Å
α = 90.00°, β = 90.00°, γ = 90.00°
Space group Cmmm (No. 65)
Inequivalent atoms, fractional coordinates:
Dy: 0.0000 0.0000 0.0000 [2 per cell]
Dy: 0.0000 0.1721 0.5000 [4 per cell]
Dy: 0.2414 0.1299 0.0000 [8 per cell]
Y: 0.0000 0.3294 0.0000 [4 per cell]
Er: 0.0000 0.5000 0.5000 [2 per cell]


(13)
VASP calculation (GGA-PBE) on a geometry-optimized Dy2Y3Er5 structure.

magnetization: 0.000 μB/atom
energy relative to the elements: 0.20 eV/atom
theoretical density: 7.31 g cm⁻³

a = 10.6038 Å, b = 15.6587 Å, c = 9.4386 Å
α = 90.00°, β = 124.14°, γ = 90.00°
Space group C2/c (No. 15)
Inequivalent atoms, fractional coordinates:
Dy: 0.1473 0.1195 0.0489 [8 per cell]
Y: 0.0000 0.2675 0.7500 [4 per cell]
Y: 0.1503 0.3799 0.5461 [8 per cell]
Er: 0.0000 0.0276 0.2500 [4 per cell]
Er: 0.0000 0.2304 0.2500 [4 per cell]
Er: 0.0000 0.4697 0.7500 [4 per cell]
Er: 0.2467 0.3894 0.2441 [8 per cell]


(14)
VASP calculation (GGA-PBE) on a geometry-optimized DyY6Er8 structure.

magnetization: 0.000 μB/atom
energy relative to the elements: 0.12 eV/atom
theoretical density: 7.06 g cm⁻³

a = 9.0005 Å, b = 9.0005 Å, c = 20.4717 Å
α = 90.00°, β = 90.00°, γ = 120.00°
Space group R-3 (No. 148, hexagonal axes)
Inequivalent atoms, fractional coordinates:
Dy: 0.0000 0.0000 0.0000 [3 per cell]
Y: 0.0663 0.8180 0.7077 [18 per cell]
Er: 0.0000 0.0000 0.4239 [6 per cell]
Er: 0.0814 0.5292 0.8087 [18 per cell]


(15)
VASP calculation (GGA-PBE) on a geometry-optimized Dy4Y8Er3 structure.

magnetization: 0.026 μB/atom
energy relative to the elements: 0.40 eV/atom
theoretical density: 6.21 g cm⁻³

a = 13.3688 Å, b = 12.7988 Å, c = 6.7284 Å
α = 90.00°, β = 120.14°, γ = 90.00°
Space group C2/m (No. 12)
Inequivalent atoms, fractional coordinates:
Dy: 0.0000 0.0000 0.0000 [2 per cell]
Dy: 0.0000 0.0000 0.5000 [2 per cell]
Dy: 0.2500 0.2500 0.0000 [4 per cell]
Y: 0.0000 0.2511 0.0000 [4 per cell]
Y: 0.0000 0.3575 0.5000 [4 per cell]
Y: 0.2322 0.5000 0.9673 [4 per cell]
Y: 0.2348 0.5000 0.4902 [4 per cell]
Er: 0.0000 0.5000 0.0000 [2 per cell]
Er: 0.2500 0.2500 0.5000 [4 per cell]


(16)
VASP calculation (GGA-PBE) on a geometry-optimized Dy5Y4Er3 structure.

magnetization: 0.043 μB/atom
energy relative to the elements: 0.24 eV/atom
theoretical density: 7.15 g cm⁻³

a = 16.0264 Å, b = 5.8580 Å, c = 9.2662 Å
α = 90.00°, β = 116.89°, γ = 90.00°
Space group C2/m (No. 12)
Inequivalent atoms, fractional coordinates:
Dy: 0.0000 0.0000 0.0000 [2 per cell]
Dy: 0.0740 0.5000 0.7010 [4 per cell]
Dy: 0.1728 0.5000 0.3850 [4 per cell]
Y: 0.0801 0.0000 0.4380 [4 per cell]
Y: 0.2141 0.0000 0.8783 [4 per cell]
Er: 0.0000 0.5000 0.0000 [2 per cell]
Er: 0.2098 0.0000 0.2326 [4 per cell]


(17)
VASP calculation (GGA-PBE) on a geometry-optimized Dy6YEr4 structure.

magnetization: 0.000 μB/atom
energy relative to the elements: 0.43 eV/atom
theoretical density: 7.75 g cm⁻³

a = 7.4868 Å, b = 7.4868 Å, c = 13.2553 Å
α = 90.00°, β = 90.00°, γ = 90.00°
Space group I-42m (No. 121)
Inequivalent atoms, fractional coordinates:
Dy: 0.0000 0.5000 0.0000 [4 per cell]
Dy: 0.2363 0.2363 0.1864 [8 per cell]
Y: 0.0000 0.0000 0.0000 [2 per cell]
Er: 0.1632 0.1632 0.4208 [8 per cell]


(18)
VASP calculation (GGA-PBE) on a geometry-optimized Dy5Y2Er12 structure.

magnetization: 0.000 μB/atom
energy relative to the elements: 0.02 eV/atom
theoretical density: 8.47 g cm⁻³

a = 6.1031 Å, b = 9.3289 Å, c = 10.5670 Å
α = 101.01°, β = 95.58°, γ = 90.06°
Space group P-1 (No. 2)
Inequivalent atoms, fractional coordinates:
Dy: 0.0000 0.0000 0.0000 [1 per cell]
Dy: 0.1580 0.6319 0.9474 [2 per cell]
Dy: 0.2616 0.0532 0.5792 [2 per cell]
Y: 0.4207 0.6845 0.5264 [2 per cell]
Er: 0.0531 0.2109 0.3152 [2 per cell]
Er: 0.1039 0.4213 0.6323 [2 per cell]
Er: 0.2113 0.8428 0.2626 [2 per cell]
Er: 0.3154 0.2631 0.8945 [2 per cell]
Er: 0.3686 0.4736 0.2092 [2 per cell]
Er: 0.4736 0.8949 0.8429 [2 per cell]


(19)
VASP calculation (GGA-PBE) on a geometry-optimized Dy6YEr4 structure.

magnetization: 0.000 μB/atom
energy relative to the elements: 0.13 eV/atom
theoretical density: 8.31 g cm⁻³

a = 5.6665 Å, b = 9.5834 Å, c = 25.4990 Å
α = 90.00°, β = 90.00°, γ = 90.00°
Space group Cmcm (No. 63)
Inequivalent atoms, fractional coordinates:
Dy: 0.0000 0.0000 0.0000 [4 per cell]
Dy: 0.0000 0.0249 0.2500 [4 per cell]
Dy: 0.0000 0.3095 0.6033 [8 per cell]
Dy: 0.0000 0.3587 0.1814 [8 per cell]
Y: 0.0000 0.3097 0.7500 [4 per cell]
Er: 0.0000 0.0287 0.1217 [8 per cell]
Er: 0.0000 0.3432 0.0426 [8 per cell]